A relaxed structure of Dy2Y2Co. Source: Alexandria via LeMat-Bulk, functional PBE.

Output
- Formation energy: -0.062 eV per atom
- Space group: C2/m

Cell: 7.3807 6.8608 7.9578 Å, 72.08 55.12 57.46°
With the nearest neighbours (Å) after each atom.
Positions (direct):
Y 0.8341 0.0000 0.8925  2 Co 2.98
Dy 0.4392 0.5450 0.7424  1 Co 2.57
Co 0.8781 0.2439 0.5000  2 Dy 2.57, 2 Y 2.66, 1 Co 2.82
Y 0.3525 0.0000 0.4047  2 Co 2.66
Dy 0.9842 0.4550 0.7424  1 Co 2.57
Y 0.6475 0.0000 0.5953  2 Co 2.66
Dy 0.5608 0.4550 0.2576  1 Co 2.57
Co 0.1219 0.7561 0.5000  2 Dy 2.57, 2 Y 2.66, 1 Co 2.82
Dy 0.0158 0.5450 0.2576  1 Co 2.57
Y 0.1659 0.0000 0.1075  2 Co 2.98

---

A relaxed structure of Si2AsPt. Source: Alexandria via LeMat-Bulk, functional PBE.

Output
- Raw formation energy: -162 meV/atom
- Space group: Amm2

Cell: 4.1868 4.3133 4.3134 Å, 66.18 90.00 90.00°
With the nearest neighbours (Å) after each atom.
Positions (direct):
Si 0.0000 0.9676 0.9676  2 Pt 2.47, 2 As 2.50, 2 Si 2.53
As 0.0000 0.5821 0.5821  3 Si 2.50-2.79, 2 Pt 2.56
Pt 0.5000 0.7861 0.7861  5 Si 2.47-2.73, 2 As 2.56
Si 0.5000 0.1642 0.1642  3 Pt 2.51-2.73, 2 Si 2.53

---

A relaxed structure of Pm2Dy5Th. Source: Alexandria via LeMat-Bulk, functional PBE.

Output
- Formation energy: 0.027 eV per atom
- Space group: Pbam

Cell: 5.0740 7.1353 14.3004 Å, 90.00 90.00 90.00°
With the nearest neighbours (Å) after each atom.
Positions (direct):
Pm 0.5000 0.7474 0.8766  10 Dy 3.49-3.65, 2 Th 3.56
Dy 0.5000 0.2417 0.3774  4 Pm 3.49-3.65, 2 Th 3.53, 6 Dy 3.57-3.62
Dy 0.5000 0.7583 0.6226  4 Pm 3.49-3.65, 2 Th 3.53, 6 Dy 3.57-3.62
Pm 0.5000 0.7526 0.3766  10 Dy 3.49-3.65, 2 Th 3.56
Pm 0.5000 0.2474 0.6234  10 Dy 3.49-3.65, 2 Th 3.56
Dy 0.0000 0.9956 0.2513  1 Th 3.56, 4 Pm 3.56-3.63, 7 Dy 3.57-3.62
Dy 0.5000 0.7417 0.1226  4 Pm 3.49-3.65, 2 Th 3.53, 6 Dy 3.57-3.62
Dy 0.0000 0.5000 0.5000  2 Th 3.57, 4 Pm 3.58, 6 Dy 3.59
Dy 0.0000 0.0000 0.0000  2 Th 3.57, 4 Pm 3.58, 6 Dy 3.59
Dy 0.0000 0.5044 0.7513  1 Th 3.56, 4 Pm 3.56-3.63, 7 Dy 3.57-3.62
Th 0.0000 0.5000 0.0000  8 Dy 3.53-3.57, 4 Pm 3.56
Dy 0.5000 0.2583 0.8774  4 Pm 3.49-3.65, 2 Th 3.53, 6 Dy 3.57-3.62
Dy 0.0000 0.4956 0.2487  1 Th 3.56, 4 Pm 3.56-3.63, 7 Dy 3.57-3.62
Dy 0.0000 0.0044 0.7487  1 Th 3.56, 4 Pm 3.56-3.63, 7 Dy 3.57-3.62
Pm 0.5000 0.2526 0.1234  10 Dy 3.49-3.65, 2 Th 3.56
Th 0.0000 0.0000 0.5000  8 Dy 3.53-3.57, 4 Pm 3.56

---

A relaxed structure of BaSr2Au9. Source: Alexandria via LeMat-Bulk, functional PBE.

Output
- Formation energy: -0.530 eV per atom
- Space group: R-3m

Cell: 5.8210 5.8210 10.0829 Å, 73.22 73.22 60.00°
With the nearest neighbours (Å) after each atom.
Positions (direct):
Au 0.5000 0.5000 0.5000  6 Au 2.89
Sr 0.1427 0.1427 0.5718  12 Au 3.35-3.45, 3 Sr 3.63
Au 0.4144 0.4144 0.2536  7 Au 2.89-2.96
Au 0.0824 0.5856 0.7464  7 Au 2.89-2.96
Au 0.4144 0.9176 0.2536  7 Au 2.89-2.96
Ba 0.0000 0.0000 0.0000  6 Au 3.36
Au 0.5856 0.5856 0.7464  7 Au 2.89-2.96
Au 0.6673 0.6673 0.9980  6 Au 2.92-2.96
Au 0.9176 0.4144 0.2536  7 Au 2.89-2.96
Au 0.5856 0.0824 0.7464  7 Au 2.89-2.96
Sr 0.8573 0.8573 0.4282  12 Au 3.35-3.45, 3 Sr 3.63
Au 0.3327 0.3327 0.0020  6 Au 2.92-2.96

---

A relaxed structure of NaScOs3. Source: Alexandria via LeMat-Bulk, functional PBE.

Output
- Formation energy: 2.166 eV per atom
- Space group: Pm-3m

Cell: 4.7450 4.7450 4.7450 Å, 90.00 90.00 90.00°
With the nearest neighbours (Å) after each atom.
Positions (direct):
Os 0.0000 0.5000 0.0000  2 Sc 2.37
Os 0.0000 0.0000 0.5000  2 Sc 2.37
Os 0.5000 0.0000 0.0000  2 Sc 2.37
Sc 0.0000 0.0000 0.0000  6 Os 2.37
Na 0.5000 0.5000 0.5000  12 Os 3.36

---

A relaxed structure of Y2InCoH. Source: Alexandria via LeMat-Bulk, functional PBE.

Output
- Space group: P4/mmm
- Total energy: -5.549 eV per atom

Cell: 5.0706 5.0706 3.6213 Å, 90.00 90.00 90.00°
With the nearest neighbours (Å) after each atom.
Positions (direct):
Y 0.0000 0.5000 0.0000  2 H 2.54
H 0.0000 0.0000 0.0000  2 Co 1.81
Y 0.5000 0.0000 0.0000  2 H 2.54
Co 0.0000 0.0000 0.5000  2 H 1.81
In 0.5000 0.5000 0.5000  8 Y 3.12

---

A relaxed structure of Nd4Co2Ni5. Source: Alexandria via LeMat-Bulk, functional PBE.

Output
- Formation energy: -0.185 eV per atom
- Space group: P2/m

Cell: 4.1535 6.5307 7.5584 Å, 91.08 90.00 90.00°
With the nearest neighbours (Å) after each atom.
Positions (direct):
Nd 0.5000 0.2422 0.8751  6 Ni 2.82-2.96, 2 Co 2.96
Ni 0.0000 0.4480 0.6639  1 Co 2.37, 2 Ni 2.56-2.58
Ni 0.0000 0.8686 0.8770  1 Co 2.38, 2 Ni 2.51-2.60
Nd 0.5000 0.7578 0.1249  6 Ni 2.82-2.96, 2 Co 2.96
Co 0.0000 0.9134 0.3722  1 Co 2.22, 2 Ni 2.37-2.38
Ni 0.0000 0.1314 0.1230  1 Co 2.38, 2 Ni 2.51-2.60
Nd 0.5000 0.2539 0.3784  4 Ni 2.87-2.94, 4 Co 3.02-3.04
Ni 0.0000 0.5000 0.0000  4 Ni 2.56-2.60, 4 Nd 2.82
Nd 0.5000 0.7461 0.6216  4 Ni 2.87-2.94, 4 Co 3.02-3.04
Co 0.0000 0.0866 0.6278  1 Co 2.22, 2 Ni 2.37-2.38
Ni 0.0000 0.5520 0.3361  1 Co 2.37, 2 Ni 2.56-2.58

---

A relaxed structure of NaAlSiO4. Source: Alexandria via LeMat-Bulk, functional PBE.

Output
- Raw formation energy: -2745 meV/atom
- Space group: I-4

Cell: 5.0485 5.0485 5.2076 Å, 118.99 118.99 90.00°
With the nearest neighbours (Å) after each atom.
Positions (direct):
O 0.4991 0.6371 0.7451  1 Si 1.64, 1 Al 1.77
Al 0.5000 0.5000 0.0000  4 O 1.77
O 0.2461 0.1080 0.7451  1 Si 1.64, 1 Al 1.77
Na 0.0000 0.0000 0.0000  4 O 2.43
O 0.3629 0.7539 0.2549  1 Si 1.64, 1 Al 1.77
Si 0.2500 0.7500 0.5000  4 O 1.64
O 0.8920 0.5009 0.2549  1 Si 1.64, 1 Al 1.77

---

A relaxed structure of TbAlHg. Source: Alexandria via LeMat-Bulk, functional PBE.

Output
- Formation energy: -0.451 eV per atom
- Space group: C2/m

Cell: 4.6228 5.9752 5.8943 Å, 76.04 66.91 67.24°
With the nearest neighbours (Å) after each atom.
Positions (direct):
Al 0.1573 0.3788 0.3067  1 Al 2.60, 2 Hg 2.69
Al 0.8427 0.6212 0.6933  1 Al 2.60, 2 Hg 2.69
Tb 0.5336 0.2122 0.7205  6 Hg 3.19-3.38, 6 Al 3.22-3.40
Hg 0.1742 0.7754 0.8762  2 Al 2.69, 1 Hg 2.94
Tb 0.4664 0.7878 0.2795  6 Hg 3.19-3.38, 6 Al 3.22-3.40
Hg 0.8258 0.2246 0.1238  2 Al 2.69, 1 Hg 2.94

---

A relaxed structure of CdRe2W. Source: Alexandria via LeMat-Bulk, functional PBE.

Output
- Formation energy: 0.372 eV per atom
- Space group: P4mm

Cell: 2.8275 2.8275 8.2813 Å, 90.00 90.00 90.00°
With the nearest neighbours (Å) after each atom.
Positions (direct):
Re 0.5000 0.5000 0.2398  8 Re 2.67-2.83, 4 W 2.81
W 0.0000 0.0000 0.4788  4 Re 2.81, 4 W 2.83, 4 Cd 3.04
Re 0.0000 0.0000 0.0262  8 Re 2.67-2.83
Cd 0.5000 0.5000 0.7552  4 Cd 2.83, 4 Re 3.01, 4 W 3.04

---

A relaxed structure of BaYOs. Source: Alexandria via LeMat-Bulk, functional PBE.

Output
- Formation energy: 0.264 eV per atom
- Space group: I4mm

Cell: 7.7025 7.7028 3.5693 Å, 76.60 76.61 26.79°
With the nearest neighbours (Å) after each atom.
Positions (direct):
Y 0.7212 0.7212 0.2788  4 Os 2.89
Os 0.3180 0.3180 0.6820  4 Y 2.89
Ba 0.9608 0.9608 0.0392  4 Os 3.27, 1 Y 3.49, 4 Ba 3.57

---

A relaxed structure of DyYScIn. Source: Alexandria via LeMat-Bulk, functional PBE.

Output
- Formation energy: -0.264 eV per atom
- Space group: Pmmm

Cell: 4.7147 4.7725 4.7529 Å, 90.00 90.00 90.00°
With the nearest neighbours (Å) after each atom.
Positions (direct):
Y 0.0000 0.0000 0.0000  4 In 3.35, 4 Sc 3.35, 4 Dy 3.37
In 0.5000 0.0000 0.5000  4 Y 3.35, 4 Dy 3.35, 4 Sc 3.37
Dy 0.0000 0.5000 0.5000  4 Sc 3.35, 4 In 3.35, 4 Y 3.37
Sc 0.5000 0.5000 0.0000  4 Dy 3.35, 4 Y 3.35, 4 In 3.37

---

| no. | Fermi-level density of states (states/eV/cell) |
| --- | --- |
| 1 | 12.00 |
| 2 | 1.35 |
| 3 | 22.42 |
| 4 | 7.31 |
| 5 | 5.86 |
| 6 | 2.14 |
| 7 | 9.90 |
| 8 | 0.00 |
| 9 | 4.11 |
| 10 | 3.05 |
| 11 | 2.61 |
| 12 | 4.92 |